(1)
{
  "formula": "PmNd4Ho6",
  "functional": "PBE",
  "state": "relaxed",
  "cell": [[7.4913, -2.8987, -5.4766], [-5.1697, 8.0198, 1.8635], [-1.8686, 2.8987, 9.0896]],
  "species": ["Pm", "Nd", "Nd", "Nd", "Nd", "Ho", "Ho", "Ho", "Ho", "Ho", "Ho"],
  "frac_coords": [[0.0000, 0.0000, 0.0000], [0.0000, 0.6341, 0.0145], [0.3804, 0.3659, 0.3659], [0.0000, 0.0145, 0.6341], [0.6196, 0.9855, 0.9855], [0.0000, 0.8020, 0.4465], [0.0000, 0.4465, 0.8020], [0.3555, 0.5535, 0.5535], [0.5000, 0.5000, 0.0000], [0.6445, 0.1980, 0.1980], [0.5000, 0.0000, 0.5000]],
  "e_form_kj_per_mol_atoms": 29.4,
  "e_above_lowest_polymorph_mev_per_atom": 0,
  "n_ef_per_ev_atom": 1.328,
  "vol_a3_per_fu": 379.51,
  "sg": "I-42m (121)"
}

(2)
{
  "formula": "HfInAs2Br",
  "functional": "PBE",
  "state": "relaxed",
  "cell": [[5.1663, 0.0000, 0.0000], [0.0000, 5.1663, 0.0000], [0.0000, 0.0000, 5.4960]],
  "species": ["As", "As", "Hf", "Br", "In"],
  "frac_coords": [[0.0000, 0.5000, 0.0000], [0.5000, 0.0000, 0.0000], [0.0000, 0.0000, 0.0000], [0.0000, 0.0000, 0.5000], [0.5000, 0.5000, 0.5000]],
  "e_above_lowest_polymorph_mev_per_atom": 0,
  "e_form_raw_ev_per_atom": -0.22,
  "n_ef_per_ev_atom": 0.767,
  "vol_a3_per_fu": 146.69,
  "sg": "P4/mmm (123)"
}

(3)
{
  "formula": "MgCoW2",
  "functional": "PBE",
  "state": "relaxed",
  "cell": [[2.7237, 0.0000, 0.0000], [0.0000, 2.7237, 0.0000], [0.0000, 0.0000, 8.2060]],
  "species": ["Co", "Mg", "W", "W"],
  "frac_coords": [[0.5000, 0.5000, 0.2500], [0.5000, 0.5000, 0.7500], [0.0000, 0.0000, 0.0314], [0.0000, 0.0000, 0.4686]],
  "e_form_kj_per_mol_atoms": 32.1,
  "n_ef_per_ev_atom": 0.840,
  "vol_a3_per_fu": 60.88,
  "sg": "P4/mmm (123)"
}

What is the formula in the first record?
PmNd4Ho6

Copy entry 3 word for word.
{
  "formula": "MgCoW2",
  "functional": "PBE",
  "state": "relaxed",
  "cell": [[2.7237, 0.0000, 0.0000], [0.0000, 2.7237, 0.0000], [0.0000, 0.0000, 8.2060]],
  "species": ["Co", "Mg", "W", "W"],
  "frac_coords": [[0.5000, 0.5000, 0.2500], [0.5000, 0.5000, 0.7500], [0.0000, 0.0000, 0.0314], [0.0000, 0.0000, 0.4686]],
  "e_form_kj_per_mol_atoms": 32.1,
  "n_ef_per_ev_atom": 0.840,
  "vol_a3_per_fu": 60.88,
  "sg": "P4/mmm (123)"
}